[1]
# PBE Tl2CuHI5, relaxed
data_Tl2CuHI5
_space_group_name_H-M_alt 'C m c 21'
_space_group_IT_number 36
_cell_length_a 4.414
_cell_length_b 21.643
_cell_length_c 14.667
_cell_angle_alpha 90.00
_cell_angle_beta 90.00
_cell_angle_gamma 90.00
loop_
_space_group_symop_operation_xyz
'x,y,z'
'-x,-y,z+1/2'
'-x,y,z'
'x,-y,z+1/2'
'x+1/2,y+1/2,z'
'-x+1/2,-y+1/2,z+1/2'
'-x+1/2,y+1/2,z'
'x+1/2,-y+1/2,z+1/2'
loop_
_atom_site_label
_atom_site_fract_x
_atom_site_fract_y
_atom_site_fract_z
Tl1 0.000 0.123 0.000
Tl2 0.000 0.125 0.480
Cu1 0.000 0.437 0.210
H1 0.000 0.284 0.791
I1 0.000 0.040 0.802
I2 0.000 0.280 0.422
I3 0.000 0.328 0.138
I4 0.000 0.354 0.750
I5 0.000 0.493 0.565
# - Total magnetization: 0.000 μB/atom
# - V: 38.92 Å³/atom

---

[2]
# PBE Tl2CuHI, relaxed
data_Tl2CuHI
_space_group_name_H-M_alt 'P 4/m m m'
_space_group_IT_number 123
_space_group_name_Hall '-P 4 2'
_cell_length_a 5.974
_cell_length_b 5.974
_cell_length_c 3.619
_cell_angle_alpha 90.00
_cell_angle_beta 90.00
_cell_angle_gamma 90.00
loop_
_atom_site_label
_atom_site_fract_x
_atom_site_fract_y
_atom_site_fract_z
Tl1 0.000 0.500 0.000
Cu1 0.000 0.000 0.500
H1 0.000 0.000 0.000
I1 0.500 0.500 0.500
# - Total magnetization: 0.000 μB/atom
# - V: 25.83 Å³/atom

---

[3]
# PBE InCuH2, relaxed
data_InCuH2
_space_group_name_H-M_alt 'I -4 2 d'
_space_group_IT_number 122
_space_group_name_Hall 'I -4 2bw'
_cell_length_a 5.313
_cell_length_b 5.313
_cell_length_c 7.505
_cell_angle_alpha 90.00
_cell_angle_beta 90.00
_cell_angle_gamma 90.00
loop_
_atom_site_label
_atom_site_fract_x
_atom_site_fract_y
_atom_site_fract_z
In1 0.000 0.000 0.000
Cu1 0.000 0.000 0.500
H1 0.051 0.750 0.625
# - Total magnetization: 0.000 μB/atom
# - V: 13.24 Å³/atom

---

[4]
# PBE InCuH2, relaxed
data_InCuH2
_space_group_name_H-M_alt 'F m -3 m'
_space_group_IT_number 225
_space_group_name_Hall '-F 4 2 3'
_cell_length_a 5.646
_cell_length_b 5.646
_cell_length_c 5.646
_cell_angle_alpha 90.00
_cell_angle_beta 90.00
_cell_angle_gamma 90.00
loop_
_atom_site_label
_atom_site_fract_x
_atom_site_fract_y
_atom_site_fract_z
In1 0.000 0.000 0.000
Cu1 0.000 0.000 0.500
H1 0.250 0.250 0.250
# - Total magnetization: 0.000 μB/atom
# - V: 11.25 Å³/atom

---

Number 1: Fermi-level density of states 31.38 states/eV per cell, uncorrected energy -0.183 Ry per atom. Number 2: Fermi-level density of states 1.40 states/eV per cell, uncorrected energy -0.194 Ry per atom. Number 3: Fermi-level density of states 0.00 states/eV per cell, uncorrected energy -0.231 Ry per atom. Number 4: Fermi-level density of states 5.39 states/eV per cell, uncorrected energy -0.196 Ry per atom.